1.
! PBE InCu3Ag, optimized geometry; values from VASP
&SYSTEM
  ibrav = 0, nat = 5, ntyp = 3
/
ATOMIC_SPECIES
Cu 63.55 Cu.upf
Ag 107.87 Ag.upf
In 114.82 In.upf
CELL_PARAMETERS angstrom
4.7772 0.0000 0.0000
0.0000 4.7772 0.0000
0.0000 0.0000 4.7772
ATOMIC_POSITIONS crystal
Cu 0.5000 0.0000 0.0000
Ag 0.0000 0.0000 0.0000
Cu 0.0000 0.0000 0.5000
Cu 0.0000 0.5000 0.0000
In 0.5000 0.5000 0.5000
! * space-group type: No. 221
! * calculated formation energy: 762.8 meV per atom

2.
! PBE Cu3NiPd12, optimized geometry; values from VASP
&SYSTEM
  ibrav = 0, nat = 16, ntyp = 3
/
ATOMIC_SPECIES
Cu 63.55 Cu.upf
Pd 106.42 Pd.upf
Ni 58.69 Ni.upf
CELL_PARAMETERS angstrom
3.8822 0.0000 0.0000
0.0000 3.8822 0.0000
0.0000 0.0000 15.5063
ATOMIC_POSITIONS crystal
Cu 0.0000 0.0000 0.5000
Pd 0.0000 0.5000 0.8763
Pd 0.5000 0.5000 0.0000
Pd 0.5000 0.5000 0.7507
Pd 0.0000 0.5000 0.3747
Pd 0.5000 0.0000 0.1237
Pd 0.5000 0.0000 0.8763
Pd 0.0000 0.5000 0.6253
Ni 0.0000 0.0000 0.0000
Pd 0.0000 0.5000 0.1237
Cu 0.0000 0.0000 0.2496
Pd 0.5000 0.0000 0.6253
Pd 0.5000 0.5000 0.2493
Pd 0.5000 0.0000 0.3747
Pd 0.5000 0.5000 0.5000
Cu 0.0000 0.0000 0.7504
! * space-group type: No. 123
! * calculated formation energy: -35.2 meV per atom

3.
! PBE InRePt2, optimized geometry; values from VASP
&SYSTEM
  ibrav = 0, nat = 4, ntyp = 3
/
ATOMIC_SPECIES
Pt 195.08 Pt.upf
In 114.82 In.upf
Re 186.21 Re.upf
CELL_PARAMETERS angstrom
-1.8160 0.3801 2.1570
-2.1992 -3.0113 -1.3209
3.1562 -3.7614 3.3202
ATOMIC_POSITIONS crystal
Pt 0.5000 0.5000 0.2721
Pt 0.0000 0.0000 0.0014
In 0.5000 0.5000 0.7607
Re 0.0000 0.0000 0.4658
! * space-group type: No. 25
! * calculated formation energy: 49.2 meV per atom

4.
! PBE K2AgIrCl8, optimized geometry; values from VASP
&SYSTEM
  ibrav = 0, nat = 12, ntyp = 4
/
ATOMIC_SPECIES
K 39.10 K.upf
Ir 192.22 Ir.upf
Cl 35.45 Cl.upf
Ag 107.87 Ag.upf
CELL_PARAMETERS angstrom
-1.0080 -6.7041 0.7354
6.2921 -0.4555 -0.5112
0.7830 0.8302 8.3645
ATOMIC_POSITIONS crystal
K 0.4992 0.4978 0.7521
Ir 0.0000 0.0000 0.0000
Cl 0.3148 0.1776 0.0021
Cl 0.9037 0.2251 0.7999
Cl 0.3076 0.2057 0.4993
Cl 0.9022 0.2198 0.2006
Ag 0.0000 0.0000 0.5000
Cl 0.0978 0.7802 0.7994
K 0.5008 0.5022 0.2479
Cl 0.6852 0.8224 0.9979
Cl 0.0963 0.7749 0.2001
Cl 0.6924 0.7943 0.5007
! * space-group type: No. 2
! * formation energy without anion corrections: -899 meV/atom

5.
! PBE Pm2SmY6Tm2, optimized geometry; values from VASP
&SYSTEM
  ibrav = 0, nat = 11, ntyp = 4
/
ATOMIC_SPECIES
Y 88.91 Y.upf
Pm 145.00 Pm.upf
Tm 168.93 Tm.upf
Sm 150.36 Sm.upf
CELL_PARAMETERS angstrom
6.6063 -0.6082 -0.4908
-3.7939 5.4424 -0.4908
-1.8739 -3.2210 11.4968
ATOMIC_POSITIONS crystal
Y 0.7105 0.7105 0.7092
Pm 0.1356 0.8644 0.0000
Y 0.5572 0.8660 0.2129
Pm 0.8644 0.1356 0.0000
Y 0.4428 0.1340 0.7871
Y 0.8660 0.5572 0.2129
Tm 0.7016 0.2984 0.5000
Y 0.2895 0.2895 0.2908
Sm 0.0000 0.0000 0.5000
Y 0.1340 0.4428 0.7871
Tm 0.2984 0.7016 0.5000
! * space-group type: No. 12
! * calculated formation energy: 150.4 meV per atom

6.
! PBE BaMgTi3, optimized geometry; values from VASP
&SYSTEM
  ibrav = 0, nat = 5, ntyp = 3
/
ATOMIC_SPECIES
Ti 47.87 Ti.upf
Ba 137.33 Ba.upf
Mg 24.30 Mg.upf
CELL_PARAMETERS angstrom
5.0157 0.0000 0.0000
0.0000 5.0157 0.0000
0.0000 0.0000 5.0157
ATOMIC_POSITIONS crystal
Ti 0.0000 0.5000 0.0000
Ti 0.5000 0.0000 0.0000
Ti 0.0000 0.0000 0.5000
Ba 0.0000 0.0000 0.0000
Mg 0.5000 0.5000 0.5000
! * space-group type: No. 221
! * calculated formation energy: 1661.7 meV per atom